Compound: DyYPd2
Source: OQMD
Functional: PBE
Structure: relaxed

Computed properties:
Symmetry: No. 31
Density: 8.722 Mg/m³
Calculated formation energy: -89 kJ per mole of atoms

CIF file:
```
data_DyYPd2
_chemical_formula_sum 'Dy2 Y2 Pd4'
_space_group_name_H-M_alt 'P 1'
_space_group_IT_number 1
_cell_length_a 4.492
_cell_length_b 6.900
_cell_length_c 5.704
_cell_angle_alpha 90.00
_cell_angle_beta 90.00
_cell_angle_gamma 90.00
loop_
_space_group_symop_operation_xyz
'x,y,z'
loop_
_atom_site_label
_atom_site_fract_x
_atom_site_fract_y
_atom_site_fract_z
Dy1 0.000 0.431 0.140
Dy2 0.500 0.569 0.640
Pd1 0.500 0.704 0.153
Pd2 0.500 0.212 0.347
Pd3 0.000 0.296 0.653
Pd4 0.000 0.788 0.847
Y1 0.000 0.931 0.359
Y2 0.500 0.069 0.859
```

=====

Compound: TmZnCd
Source: OQMD
Functional: PBE
Structure: relaxed

Computed properties:
Symmetry: No. 216
Density: 8.266 Mg/m³
Calculated formation energy: -14 kJ per mole of atoms

CIF file:
```
data_TmZnCd
_chemical_formula_sum 'Tm1 Zn1 Cd1'
_space_group_name_H-M_alt 'P 1'
_space_group_IT_number 1
_cell_length_a 4.618
_cell_length_b 4.618
_cell_length_c 4.618
_cell_angle_alpha 60.00
_cell_angle_beta 60.00
_cell_angle_gamma 60.00
loop_
_space_group_symop_operation_xyz
'x,y,z'
loop_
_atom_site_label
_atom_site_fract_x
_atom_site_fract_y
_atom_site_fract_z
Cd1 0.250 0.250 0.250
Tm1 0.750 0.750 0.750
Zn1 0.000 0.000 0.000
```

=====

Compound: KNdPSe4
Source: OQMD
Functional: PBE
Structure: relaxed

Computed properties:
Symmetry: No. 11
Density: 4.205 Mg/m³
Energy: -0.3357 Ry/atom

CIF file:
```
data_KNdPSe4
_chemical_formula_sum 'K2 Nd2 P2 Se8'
_space_group_name_H-M_alt 'P 1'
_space_group_IT_number 1
_cell_length_a 6.975
_cell_length_b 6.873
_cell_length_c 9.166
_cell_angle_alpha 90.00
_cell_angle_beta 107.65
_cell_angle_gamma 90.00
loop_
_space_group_symop_operation_xyz
'x,y,z'
loop_
_atom_site_label
_atom_site_fract_x
_atom_site_fract_y
_atom_site_fract_z
K1 0.761 0.250 0.063
K2 0.239 0.750 0.937
Nd1 0.267 0.750 0.445
Nd2 0.733 0.250 0.555
P1 0.712 0.750 0.317
P2 0.288 0.250 0.683
Se1 0.919 0.750 0.161
Se2 0.493 0.016 0.281
Se3 0.493 0.484 0.281
Se4 0.087 0.250 0.433
Se5 0.913 0.750 0.567
Se6 0.507 0.516 0.719
Se7 0.507 0.984 0.719
Se8 0.081 0.250 0.839
```

=====

Which formula does entry 2 have? TmZnCd

=====

The lowest density belongs to which entry? KNdPSe4